No. 1
# CrRe3Sb | Alexandria | GGA-PBE | optimized geometry
# uncorrected formation energy	1.5620	eV/atom
data_CrRe3Sb
_chemical_formula_sum 'Cr1 Re3 Sb1'
_space_group_name_H-M_alt 'P m -3 m'
_space_group_IT_number 221
_space_group_name_Hall '-P 4 2 3'
_cell_length_a 4.521
_cell_length_b 4.521
_cell_length_c 4.521
_cell_angle_alpha 90.00
_cell_angle_beta 90.00
_cell_angle_gamma 90.00
loop_
_atom_site_label
_atom_site_type_symbol
_atom_site_fract_x
_atom_site_fract_y
_atom_site_fract_z
Cr1 Cr 0.000 0.000 0.000
Re1 Re 0.000 0.000 0.500
Sb1 Sb 0.500 0.500 0.500


No. 2
# TaGaSi | Alexandria | GGA-PBE | optimized geometry
# uncorrected formation energy	-0.1312	eV/atom
data_TaGaSi
_chemical_formula_sum 'Ta2 Ga2 Si2'
_space_group_name_H-M_alt 'P 4/n m m'
_space_group_IT_number 129
_cell_length_a 3.407
_cell_length_b 3.407
_cell_length_c 8.585
_cell_angle_alpha 90.00
_cell_angle_beta 90.00
_cell_angle_gamma 90.00
loop_
_space_group_symop_operation_xyz
'x,y,z'
'-x,-y,-z'
'-y+1/2,x,z'
'y+1/2,-x,-z'
'-x+1/2,-y+1/2,z'
'x+1/2,y+1/2,-z'
'y,-x+1/2,z'
'-y,x+1/2,-z'
'x+1/2,-y,-z'
'-x+1/2,y,z'
'-y,-x,-z'
'y,x,z'
'-x,y+1/2,-z'
'x,-y+1/2,z'
'y+1/2,x+1/2,-z'
'-y+1/2,-x+1/2,z'
loop_
_atom_site_label
_atom_site_type_symbol
_atom_site_fract_x
_atom_site_fract_y
_atom_site_fract_z
Ta1 Ta 0.250 0.250 0.234
Ga1 Ga 0.250 0.250 0.582
Si1 Si 0.250 0.750 0.000


No. 3
# YTl3Hg | Alexandria | GGA-PBE | optimized geometry
# excess energy over the best structure of this formula in the dataset	0.71	kcal/mol of atoms
data_YTl3Hg
_chemical_formula_sum 'Y1 Tl3 Hg1'
_space_group_name_H-M_alt 'P m -3 m'
_space_group_IT_number 221
_space_group_name_Hall '-P 4 2 3'
_cell_length_a 6.039
_cell_length_b 6.039
_cell_length_c 6.039
_cell_angle_alpha 90.00
_cell_angle_beta 90.00
_cell_angle_gamma 90.00
loop_
_atom_site_label
_atom_site_type_symbol
_atom_site_fract_x
_atom_site_fract_y
_atom_site_fract_z
Y1 Y 0.000 0.000 0.000
Tl1 Tl 0.000 0.000 0.500
Hg1 Hg 0.500 0.500 0.500


No. 4
# Ca8As2P3 | Alexandria | GGA-PBE | optimized geometry
# calculated total energy	-4.22	eV per atom
data_Ca8As2P3
_chemical_formula_sum 'Ca16 As4 P6'
_space_group_name_H-M_alt 'C m m m'
_space_group_IT_number 65
_space_group_name_Hall '-C 2 2'
_cell_length_a 10.056
_cell_length_b 14.161
_cell_length_c 4.922
_cell_angle_alpha 90.00
_cell_angle_beta 90.00
_cell_angle_gamma 90.00
loop_
_atom_site_label
_atom_site_type_symbol
_atom_site_fract_x
_atom_site_fract_y
_atom_site_fract_z
Ca1 Ca 0.000 0.114 0.000
Ca2 Ca 0.000 0.376 0.000
Ca3 Ca 0.236 0.119 0.500
As1 As 0.000 0.263 0.500
P1 P 0.000 0.000 0.500
P2 P 0.224 0.500 0.000


No. 5
# BaLaIN2 | Alexandria | GGA-PBE | optimized geometry
# excess energy over the best structure of this formula in the dataset	0.00	kcal/mol of atoms
# uncorrected formation energy	-0.2296	eV/atom
data_BaLaIN2
_chemical_formula_sum 'Ba1 La1 I1 N2'
_space_group_name_H-M_alt 'P 4/m m m'
_space_group_IT_number 123
_space_group_name_Hall '-P 4 2'
_cell_length_a 4.797
_cell_length_b 4.797
_cell_length_c 6.263
_cell_angle_alpha 90.00
_cell_angle_beta 90.00
_cell_angle_gamma 90.00
loop_
_atom_site_label
_atom_site_type_symbol
_atom_site_fract_x
_atom_site_fract_y
_atom_site_fract_z
Ba1 Ba 0.000 0.000 0.000
La1 La 0.500 0.500 0.500
I1 I 0.500 0.500 0.000
N1 N 0.000 0.500 0.500


No. 6
# BeCdMo2 | Alexandria | GGA-PBE | optimized geometry
# excess energy over the best structure of this formula in the dataset	3.29	kcal/mol of atoms
data_BeCdMo2
_chemical_formula_sum 'Be1 Cd1 Mo2'
_space_group_name_H-M_alt 'P 4/m m m'
_space_group_IT_number 123
_space_group_name_Hall '-P 4 2'
_cell_length_a 3.743
_cell_length_b 3.743
_cell_length_c 4.373
_cell_angle_alpha 90.00
_cell_angle_beta 90.00
_cell_angle_gamma 90.00
loop_
_atom_site_label
_atom_site_type_symbol
_atom_site_fract_x
_atom_site_fract_y
_atom_site_fract_z
Be1 Be 0.000 0.000 0.000
Cd1 Cd 0.500 0.500 0.000
Mo1 Mo 0.000 0.500 0.500